Compound: Nd2ErCd2
Source: Alexandria via LeMat-Bulk
Functional: PBE
Structure: optimized geometry

Cell lengths 3.758, 5.384, 14.330 Å; angles 90.00, 97.52, 90.00 degrees
Positions (direct):
Nd 0.044 0.250 0.087
Nd 0.233 0.250 0.469
Nd 0.767 0.750 0.531
Nd 0.956 0.750 0.913
Er 0.150 0.750 0.299
Er 0.850 0.250 0.701
Cd 0.362 0.750 0.723
Cd 0.441 0.250 0.883
Cd 0.559 0.750 0.117
Cd 0.638 0.250 0.277

Computed properties:
The energy of formation from the pure elements comes out at -0.242 eV per atom. Its volume is 287 Å³/cell. The calculation puts the energy above the most stable polymorph in this dataset at 0 meV per atom. The space-group type is P2_1/m. For the total energy, the calculation gives -3.43 eV per atom.

***

Compound: Nd2Er3Cd4
Source: Alexandria via LeMat-Bulk
Functional: PBE
Structure: optimized geometry

Cell lengths 9.817, 9.817, 8.210 Å; angles 90.00, 90.00, 139.37 degrees
Positions (direct):
Nd 0.093 0.907 0.899
Nd 0.407 0.593 0.399
Nd 0.593 0.407 0.601
Nd 0.907 0.093 0.101
Er 0.000 0.000 0.500
Er 0.004 0.496 0.750
Er 0.496 0.004 0.250
Er 0.500 0.500 0.000
Er 0.504 0.996 0.750
Er 0.996 0.504 0.250
Cd 0.163 0.837 0.514
Cd 0.175 0.325 0.750
Cd 0.325 0.175 0.250
Cd 0.337 0.663 0.014
Cd 0.663 0.337 0.986
Cd 0.675 0.825 0.750
Cd 0.825 0.675 0.250
Cd 0.837 0.163 0.486

Computed properties:
The energy of formation from the pure elements comes out at -0.170 eV per atom. Its volume is 515 Å³/cell. The space-group type is Cmce. For the total energy, the calculation gives -3.16 eV per atom.

***

Compound: Nd2Er2Cd
Source: Alexandria via LeMat-Bulk
Functional: PBE
Structure: optimized geometry

Cell lengths 6.327, 6.327, 8.558 Å; angles 107.18, 107.18, 95.55 degrees
Positions (direct):
Nd 0.165 0.165 0.432
Nd 0.283 0.283 0.882
Nd 0.717 0.717 0.118
Nd 0.835 0.835 0.568
Er 0.243 0.610 0.279
Er 0.390 0.757 0.721
Er 0.610 0.243 0.279
Er 0.757 0.390 0.721
Cd 0.160 0.840 0.000
Cd 0.840 0.160 0.000

Computed properties:
The energy of formation from the pure elements comes out at -0.031 eV per atom. Its volume is 306 Å³/cell. The calculation puts the energy above the most stable polymorph in this dataset at 80 meV per atom. The space-group type is C2/m. For the total energy, the calculation gives -3.95 eV per atom.

***

Compound: NdEr2Cd
Source: Alexandria via LeMat-Bulk
Functional: PBE
Structure: optimized geometry

Cell lengths 10.954, 10.954, 10.954 Å; angles 18.95, 18.95, 18.95 degrees
Positions (direct):
Nd 0.000 0.000 0.000
Er 0.576 0.576 0.576
Er 0.758 0.758 0.758
Cd 0.166 0.166 0.166

Computed properties:
The energy of formation from the pure elements comes out at -0.054 eV per atom. Its volume is 121 Å³/cell. The calculation puts the energy above the most stable polymorph in this dataset at 96 meV per atom. The space-group type is R3m. For the total energy, the calculation gives -3.76 eV per atom.